Entry 1:
DFT (PBE-GGA) results for crystalline BaInGa2Ir at its relaxed geometry.

a = 4.913 Å, b = 4.913 Å, c = 5.225 Å
α = 90.00°, β = 90.00°, γ = 90.00°
Sites, in units of the cell vectors:
Ba: 0.000 0.000 0.000
In: 0.500 0.500 0.000
Ga: 0.000 0.500 0.500
Ga: 0.500 0.000 0.500
Ir: 0.500 0.500 0.500

Results
- Uncorrected energy: -4.316 eV/atom
- Total moment: 0.0 Bohr magnetons per cell

---

Entry 2:
DFT (PBE-GGA) results for crystalline Ce2HgP at its relaxed geometry.

a = 3.579 Å, b = 3.579 Å, c = 7.592 Å
α = 90.00°, β = 90.00°, γ = 90.00°
Sites, in units of the cell vectors:
Ce: 0.000 0.000 0.209
Ce: 0.000 0.000 0.791
Hg: 0.500 0.500 0.500
P: 0.500 0.500 0.000

Results
- Energy above the most stable polymorph in this dataset: 54 meV/atom
- Total moment: 2.0 Bohr magnetons per cell

---

Entry 3:
DFT (PBE-GGA) results for crystalline YTl2Si at its relaxed geometry.

a = 9.407 Å, b = 9.407 Å, c = 9.407 Å
α = 22.23°, β = 22.23°, γ = 22.23°
Sites, in units of the cell vectors:
Y: 0.000 0.000 0.000
Tl: 0.241 0.241 0.241
Tl: 0.759 0.759 0.759
Si: 0.500 0.500 0.500

Results
- Energy above the most stable polymorph in this dataset: 319 meV/atom
- Total moment: 0.0 Bohr magnetons per cell
- Formation energy from raw total energies: 197 meV per atom

---

Entry 4:
DFT (PBE-GGA) results for crystalline Ge3AsIr at its relaxed geometry.

a = 4.795 Å, b = 4.795 Å, c = 4.795 Å
α = 90.00°, β = 90.00°, γ = 90.00°
Sites, in units of the cell vectors:
Ge: 0.000 0.000 0.500
Ge: 0.000 0.500 0.000
Ge: 0.500 0.000 0.000
As: 0.500 0.500 0.500
Ir: 0.000 0.000 0.000

Results
- Energy above the most stable polymorph in this dataset: 324 meV/atom
- Total moment: 0.0 Bohr magnetons per cell

---

Entry 5:
DFT (PBE-GGA) results for crystalline CaAcHo2Bi4 at its relaxed geometry.

a = 7.914 Å, b = 4.597 Å, c = 8.108 Å
α = 90.00°, β = 109.13°, γ = 90.00°
Sites, in units of the cell vectors:
Ca: 0.000 0.000 0.000
Ac: 0.500 0.500 0.000
Ho: 0.000 0.500 0.500
Ho: 0.500 0.000 0.500
Bi: 0.237 0.000 0.728
Bi: 0.251 0.500 0.268
Bi: 0.749 0.500 0.732
Bi: 0.763 0.000 0.272

Results
- Uncorrected energy: -4.665 eV/atom
- Total moment: 0.0 Bohr magnetons per cell